Entry 1:
Below is CeTlHg6 after structural relaxation, with properties calculated at the GGA-PBE level.

Cell: 5.149 6.820 6.820 Å, 63.40 90.00 90.00°
Element x y z (fractional)
Ce: 0.000 0.000 0.000
Tl: 0.500 0.300 0.300
Hg: 0.000 0.489 0.489
Hg: 0.000 0.514 0.966
Hg: 0.000 0.966 0.514
Hg: 0.500 0.327 0.795
Hg: 0.500 0.795 0.327
Hg: 0.500 0.825 0.825

Calculated values
The crystal system is orthorhombic. Its formation energy is -0.13 eV per atom. The space group is No. 38.

=====

Entry 2:
Below is Ce2Tl2Hg after structural relaxation, with properties calculated at the GGA-PBE level.

Cell: 3.381 3.381 13.636 Å, 90.00 90.00 120.00°
Element x y z (fractional)
Ce: 0.000 0.000 0.101
Ce: 0.000 0.000 0.899
Tl: 0.333 0.667 0.692
Tl: 0.667 0.333 0.308
Hg: 0.000 0.000 0.500

Calculated values
The crystal system is trigonal. Its formation energy is 0.06 eV per atom. For the excess energy over the best structure of this formula in the dataset, the calculation gives 240 meV/atom. The space group is No. 164.

=====

Entry 3:
Below is Ce7Tl3Hg after structural relaxation, with properties calculated at the GGA-PBE level.

Cell: 7.934 7.934 5.738 Å, 107.55 107.55 88.41°
Element x y z (fractional)
Ce: 0.000 0.000 0.000
Ce: 0.067 0.562 0.347
Ce: 0.300 0.300 0.811
Ce: 0.438 0.933 0.653
Ce: 0.562 0.067 0.347
Ce: 0.700 0.700 0.189
Ce: 0.933 0.438 0.653
Tl: 0.279 0.721 0.000
Tl: 0.500 0.500 0.500
Tl: 0.721 0.279 0.000
Hg: 0.000 0.000 0.500

Calculated values
The crystal system is monoclinic. Its formation energy is -0.05 eV per atom. The space group is No. 12.

=====

Entry 4:
Below is Ce5TlHg3 after structural relaxation, with properties calculated at the GGA-PBE level.

Cell: 9.468 9.468 6.575 Å, 90.00 90.00 120.00°
Element x y z (fractional)
Ce: 0.000 0.308 0.250
Ce: 0.000 0.692 0.750
Ce: 0.308 0.000 0.250
Ce: 0.308 0.308 0.750
Ce: 0.333 0.667 0.000
Ce: 0.333 0.667 0.500
Ce: 0.667 0.333 0.000
Ce: 0.667 0.333 0.500
Ce: 0.692 0.000 0.750
Ce: 0.692 0.692 0.250
Tl: 0.000 0.000 0.000
Tl: 0.000 0.000 0.500
Hg: 0.000 0.360 0.750
Hg: 0.000 0.640 0.250
Hg: 0.360 0.000 0.750
Hg: 0.360 0.360 0.250
Hg: 0.640 0.000 0.250
Hg: 0.640 0.640 0.750

Calculated values
The crystal system is hexagonal. Its formation energy is -0.21 eV per atom. The space group is No. 193.